[1]
DFT (PBE) results for AcSi2Ir2 after structural relaxation. Values from VASP.

Properties
The relative energy among the computed polymorphs comes out at 16 kJ/mol of formula units. As for the space group: Fddd. Its size of the total moment is 0.012 μB per cell.

Structure (Quantum ESPRESSO input):
```
&SYSTEM
  ibrav = 0, nat = 10, ntyp = 3
/
ATOMIC_SPECIES
Ac 227.00 Ac.upf
Si 28.09 Si.upf
Ir 192.22 Ir.upf
CELL_PARAMETERS angstrom
0.0000 5.1211 6.3985
3.0581 0.0000 6.3985
3.0581 5.1211 0.0000
ATOMIC_POSITIONS angstrom
Ac 0.7645 1.2803 1.5996
Ac 5.3517 8.9619 11.1973
Si 2.2936 1.9555 4.7989
Si 3.8227 4.5160 7.9981
Si 2.2936 5.7262 4.7989
Si 3.8227 8.2867 7.9981
Ir 2.2936 3.8408 3.2797
Ir 2.2936 3.8408 6.3180
Ir 3.8227 6.4014 6.4789
Ir 3.8227 6.4014 9.5173
```

[2]
DFT (PBE) results for AcSi2Ir2 after structural relaxation. Values from VASP.

Properties
The relative energy among the computed polymorphs comes out at 0 kJ/mol of formula units. As for the space group: I4/mmm. Its size of the total moment is 0.002 μB per cell.

Structure (Quantum ESPRESSO input):
```
&SYSTEM
  ibrav = 0, nat = 5, ntyp = 3
/
ATOMIC_SPECIES
Ac 227.00 Ac.upf
Si 28.09 Si.upf
Ir 192.22 Ir.upf
CELL_PARAMETERS angstrom
-2.0905 2.0905 5.3868
2.0905 -2.0905 5.3868
2.0905 2.0905 -5.3868
ATOMIC_POSITIONS angstrom
Ac 0.0000 0.0000 0.0000
Si 0.0000 0.0000 3.9469
Si 0.0000 0.0000 6.8267
Ir 2.0905 0.0000 2.6934
Ir 0.0000 2.0905 2.6934
```

[3]
DFT (PBE) results for AcSnIr after structural relaxation. Values from VASP.

Properties
The relative energy among the computed polymorphs comes out at 0 kJ/mol of formula units. As for the space group: Pnma. Its size of the total moment is 0.012 μB per cell.

Structure (Quantum ESPRESSO input):
```
&SYSTEM
  ibrav = 0, nat = 12, ntyp = 3
/
ATOMIC_SPECIES
Ac 227.00 Ac.upf
Sn 118.71 Sn.upf
Ir 192.22 Ir.upf
CELL_PARAMETERS angstrom
7.6091 0.0000 0.0000
0.0000 4.7115 0.0000
0.0000 0.0000 8.3803
ATOMIC_POSITIONS angstrom
Ac 0.2470 1.1779 1.5190
Ac 3.5575 3.5336 5.7092
Ac 4.0516 1.1779 2.6711
Ac 7.3621 3.5336 6.8613
Sn 1.1404 1.1779 4.7765
Sn 2.6641 3.5336 0.5864
Sn 4.9450 1.1779 7.7939
Sn 6.4687 3.5336 3.6038
Ir 1.6681 3.5336 3.2432
Ir 2.1365 1.1779 7.4334
Ir 5.4726 3.5336 0.9470
Ir 5.9410 1.1779 5.1371
```

[4]
DFT (PBE) results for AcSn2Ir2 after structural relaxation. Values from VASP.

Properties
The calculation puts the electronic total energy at -6.5569 eV per atom. As for the space group: P4/nmm. Its size of the total moment is 0.019 μB per cell.

Structure (Quantum ESPRESSO input):
```
&SYSTEM
  ibrav = 0, nat = 10, ntyp = 3
/
ATOMIC_SPECIES
Ac 227.00 Ac.upf
Sn 118.71 Sn.upf
Ir 192.22 Ir.upf
CELL_PARAMETERS angstrom
4.5699 0.0000 0.0000
0.0000 4.5699 0.0000
0.0000 0.0000 11.0235
ATOMIC_POSITIONS angstrom
Ac 1.1425 1.1425 2.7429
Ac 3.4274 3.4274 8.2806
Sn 1.1425 1.1425 9.6067
Sn 1.1425 3.4274 5.5117
Sn 3.4274 1.1425 5.5117
Sn 3.4274 3.4274 1.4168
Ir 1.1425 1.1425 6.9688
Ir 1.1425 3.4274 0.0000
Ir 3.4274 1.1425 0.0000
Ir 3.4274 3.4274 4.0547
```

[5]
DFT (PBE) results for SrAcIr4 after structural relaxation. Values from VASP.

Properties
The calculation puts the electronic total energy at -7.2979 eV per atom. As for the space group: F-43m. Its size of the total moment is 0.110 μB per cell.

Structure (Quantum ESPRESSO input):
```
&SYSTEM
  ibrav = 0, nat = 6, ntyp = 3
/
ATOMIC_SPECIES
Sr 87.62 Sr.upf
Ac 227.00 Ac.upf
Ir 192.22 Ir.upf
CELL_PARAMETERS angstrom
0.0000 3.9112 3.9112
3.9112 0.0000 3.9112
3.9112 3.9112 0.0000
ATOMIC_POSITIONS angstrom
Sr 0.0000 0.0000 0.0000
Ac 5.8668 5.8668 5.8668
Ir 2.9312 2.9312 2.9312
Ir 4.8912 4.8912 2.9312
Ir 4.8912 2.9312 4.8912
Ir 2.9312 4.8912 4.8912
```

[6]
DFT (PBE) results for AcTeIr after structural relaxation. Values from VASP.

Properties
The relative energy among the computed polymorphs comes out at 0 kJ/mol of formula units. As for the space group: F-43m. Its size of the total moment is 0.000 μB per cell.

Structure (Quantum ESPRESSO input):
```
&SYSTEM
  ibrav = 0, nat = 3, ntyp = 3
/
ATOMIC_SPECIES
Ac 227.00 Ac.upf
Te 127.60 Te.upf
Ir 192.22 Ir.upf
CELL_PARAMETERS angstrom
0.0000 3.4843 3.4843
3.4843 0.0000 3.4843
3.4843 3.4843 0.0000
ATOMIC_POSITIONS angstrom
Ac 0.0000 0.0000 0.0000
Te 3.4843 3.4843 3.4843
Ir 5.2264 5.2264 5.2264
```

[7]
DFT (PBE) results for AcTeIr after structural relaxation. Values from VASP.

Properties
The relative energy among the computed polymorphs comes out at 238 kJ/mol of formula units. As for the space group: F-43m. Its size of the total moment is 1.074 μB per cell.

Structure (Quantum ESPRESSO input):
```
&SYSTEM
  ibrav = 0, nat = 3, ntyp = 3
/
ATOMIC_SPECIES
Ac 227.00 Ac.upf
Te 127.60 Te.upf
Ir 192.22 Ir.upf
CELL_PARAMETERS angstrom
0.0000 3.6760 3.6760
3.6760 0.0000 3.6760
3.6760 3.6760 0.0000
ATOMIC_POSITIONS angstrom
Ac 0.0000 0.0000 0.0000
Te 1.8380 1.8380 1.8380
Ir 5.5140 5.5140 5.5140
```

[8]
DFT (PBE) results for Ac5ThIr4 after structural relaxation. Values from VASP.

Properties
Its formation energy is -0.6657 eV per atom. As for the space group: C2/m. Its size of the total moment is 0.003 μB per cell.

Structure (Quantum ESPRESSO input):
```
&SYSTEM
  ibrav = 0, nat = 10, ntyp = 3
/
ATOMIC_SPECIES
Ac 227.00 Ac.upf
Th 232.04 Th.upf
Ir 192.22 Ir.upf
CELL_PARAMETERS angstrom
9.3386 -2.1658 0.0000
9.3386 2.1658 0.0000
-2.1435 0.0000 8.1619
ATOMIC_POSITIONS angstrom
Ac 0.0000 0.0000 0.0000
Ac 4.8303 0.0000 5.2786
Ac 5.9762 0.0000 1.4239
Ac 10.5574 0.0000 6.7380
Ac 11.7033 0.0000 2.8833
Th -1.0717 0.0000 4.0810
Ir 1.8074 0.0000 4.8731
Ir 7.7090 0.0000 6.0611
Ir 8.8246 0.0000 2.1009
Ir 14.7262 0.0000 3.2889
```